a | GdLuAg: optimized geometry, PBE.

abc: 3.656 5.018 5.018
angles: 120.00 90.00 90.00
Last column: magnetic moment on the atom in μB.
Fractional coordinates of all 3 atoms:
Lu 0.093 0.000 0.000  -0.01
Ag 0.281 0.333 0.667  0.00
Gd 0.626 0.667 0.333  7.06

Output
calculated volume	79.7	Å³/f.u.
space-group type	P3m1
M_tot	7.18	μB per formula unit

=====

b | GdLuAg: optimized geometry, PBE.

abc: 3.573 3.573 6.679
angles: 105.52 105.52 90.00
Last column: magnetic moment on the atom in μB.
Fractional coordinates of all 3 atoms:
Lu 0.312 0.312 0.624  -0.25
Gd 0.012 0.012 0.025  -7.37
Ag 0.676 0.676 0.351  -0.01

Output
calculated volume	78.9	Å³/f.u.
space-group type	I4mm
M_tot	8.15	μB per formula unit

=====

The most stable arrangement is b, and the next structure is 162 meV/atom less stable.

=====

a | Gd2LuAg: optimized geometry, PBE.

abc: 5.366 5.366 5.366
angles: 60.00 60.00 60.00
Last column: magnetic moment on the atom in μB.
Fractional coordinates of all 4 atoms:
Gd 0.750 0.750 0.750  -7.12
Gd 0.250 0.250 0.250  -7.12
Lu 0.500 0.500 0.500  -0.04
Ag 0.000 0.000 0.000  -0.01

Output
calculated volume	109.3	Å³/f.u.
space-group type	Fm-3m
M_tot	14.64	μB per formula unit

=====

b | Gd2LuAg: optimized geometry, PBE.

abc: 3.633 3.633 8.506
angles: 90.00 90.00 90.00
Last column: magnetic moment on the atom in μB.
Fractional coordinates of all 4 atoms:
Gd 0.000 0.000 0.221  -7.22
Gd 0.000 0.000 0.779  -7.22
Ag 0.500 0.500 0.000  -0.02
Lu 0.500 0.500 0.500  -0.27

Output
calculated volume	112.3	Å³/f.u.
space-group type	P4/mmm
M_tot	15.46	μB per formula unit

=====

The most stable arrangement is b, and the next structure is 148 meV/atom less stable.

=====

a | GdLu2Ag: optimized geometry, PBE.

abc: 5.284 5.284 5.284
angles: 60.00 60.00 60.00
Last column: magnetic moment on the atom in μB.
Fractional coordinates of all 4 atoms:
Lu 0.250 0.250 0.250  -0.23
Lu 0.750 0.750 0.750  -0.23
Gd 0.000 0.000 0.000  -7.46
Ag 0.500 0.500 0.500  -0.01

Output
calculated volume	104.3	Å³/f.u.
space-group type	Fm-3m
M_tot	8.32	μB per formula unit

=====

b | GdLu2Ag: optimized geometry, PBE.

abc: 3.502 3.502 8.828
angles: 90.00 90.00 90.00
Last column: magnetic moment on the atom in μB.
Fractional coordinates of all 4 atoms:
Gd 0.500 0.500 0.500  7.25
Ag 0.500 0.500 0.000  0.00
Lu 0.000 0.000 0.791  0.08
Lu 0.000 0.000 0.209  0.08

Output
calculated volume	108.3	Å³/f.u.
space-group type	P4/mmm
M_tot	7.82	μB per formula unit

=====

The most stable arrangement is b, and the next structure is 212 meV/atom less stable.

=====

a | NaGd2Ag: optimized geometry, PBE.

abc: 3.562 3.562 9.449
angles: 90.00 90.00 90.00
Last column: magnetic moment on the atom in μB.
Fractional coordinates of all 4 atoms:
Gd 0.000 0.000 0.197  7.19
Gd 0.000 0.000 0.803  7.19
Ag 0.500 0.500 0.000  0.03
Na 0.500 0.500 0.500  0.00

Output
calculated volume	119.9	Å³/f.u.
space-group type	P4/mmm
M_tot	15.02	μB per formula unit

=====

b | NaGd2Ag: optimized geometry, PBE.

abc: 3.461 3.461 11.979
angles: 81.69 81.69 60.00
Last column: magnetic moment on the atom in μB.
Fractional coordinates of all 4 atoms:
Na 0.000 0.000 0.000  0.00
Ag 0.500 0.500 0.500  -0.01
Gd 0.901 0.901 0.297  -7.20
Gd 0.099 0.099 0.703  -7.20

Output
calculated volume	122.5	Å³/f.u.
space-group type	R-3m
M_tot	14.96	μB per formula unit

=====

The most stable arrangement is a, and the next structure is 152 meV/atom less stable.